No. 1
Below is a relaxed structure of Tb2Sm3Er3, with properties calculated at the PBE-GGA level.

Lattice parameters (Å, degrees): 5.034 5.043 10.701 103.63 103.60 90.00
Element x y z (fractional)
Tb (0.750, 0.250, 0.501)
Tb (0.250, 0.750, 0.499)
Sm (0.124, 0.124, 0.249)
Sm (0.000, 0.500, 0.000)
Sm (0.876, 0.876, 0.751)
Er (0.625, 0.625, 0.251)
Er (0.375, 0.375, 0.749)
Er (0.500, 0.000, 0.000)

Properties
Symmetry: Immm, No. 71
DFT formation energy, eV per atom: 0.020

---

No. 2
Below is a relaxed structure of Tb4Sm3Er2, with properties calculated at the PBE-GGA level.

Lattice parameters (Å, degrees): 6.174 6.186 12.862 118.77 103.88 119.90
Element x y z (fractional)
Tb (0.666, 0.332, 0.000)
Tb (0.334, 0.668, 0.000)
Tb (0.890, 0.779, 0.667)
Tb (0.110, 0.221, 0.333)
Sm (0.554, 0.110, 0.666)
Sm (0.000, 0.000, 0.000)
Sm (0.446, 0.890, 0.334)
Er (0.779, 0.557, 0.334)
Er (0.221, 0.443, 0.666)

Properties
Symmetry: P-1, No. 2
DFT formation energy, eV per atom: 0.016

---

No. 3
Below is a relaxed structure of Tb12Sm2Er5, with properties calculated at the PBE-GGA level.

Lattice parameters (Å, degrees): 6.828 10.003 10.906 105.64 89.98 109.93
Element x y z (fractional)
Tb (0.144, 0.288, 0.340)
Tb (0.046, 0.599, 0.894)
Tb (0.553, 0.599, 0.894)
Tb (0.099, 0.686, 0.379)
Tb (0.587, 0.686, 0.379)
Tb (0.473, 0.945, 0.636)
Tb (0.527, 0.055, 0.364)
Tb (0.901, 0.314, 0.621)
Tb (0.413, 0.314, 0.621)
Tb (0.954, 0.401, 0.106)
Tb (0.447, 0.401, 0.106)
Tb (0.856, 0.712, 0.660)
Sm (0.744, 0.000, 0.000)
Sm (0.256, 0.000, 0.000)
Er (0.302, 0.604, 0.619)
Er (0.375, 0.750, 0.143)
Er (0.000, 0.000, 0.500)
Er (0.625, 0.250, 0.857)
Er (0.698, 0.396, 0.381)

Properties
Symmetry: C2/m, No. 12
DFT formation energy, eV per atom: 0.398

---

No. 4
Below is a relaxed structure of Tb6Sm6Er, with properties calculated at the PBE-GGA level.

Lattice parameters (Å, degrees): 6.706 6.706 11.389 90.00 90.00 119.99
Element x y z (fractional)
Tb (0.000, 0.500, 0.753)
Tb (0.500, 0.000, 0.753)
Tb (0.500, 0.500, 0.753)
Tb (0.500, 0.000, 0.247)
Tb (0.000, 0.500, 0.247)
Tb (0.500, 0.500, 0.247)
Sm (0.000, 0.000, 0.654)
Sm (0.000, 0.000, 0.346)
Sm (0.333, 0.667, 0.000)
Sm (0.667, 0.333, 0.000)
Sm (0.333, 0.667, 0.500)
Sm (0.667, 0.333, 0.500)
Er (0.000, 0.000, 0.000)

Properties
Symmetry: P6/mmm, No. 191
DFT formation energy, eV per atom: 0.290

---

No. 5
Below is a relaxed structure of Tb5SmEr3, with properties calculated at the PBE-GGA level.

Lattice parameters (Å, degrees): 6.321 11.808 11.267 130.26 90.00 105.53
Element x y z (fractional)
Tb (0.395, 0.000, 0.750)
Tb (0.650, 0.659, 0.027)
Tb (0.877, 0.336, 0.128)
Tb (0.350, 0.341, 0.973)
Tb (0.541, 0.664, 0.372)
Tb (0.605, 0.000, 0.250)
Tb (0.009, 0.659, 0.527)
Tb (0.991, 0.341, 0.473)
Tb (0.459, 0.336, 0.628)
Tb (0.123, 0.664, 0.872)
Sm (0.867, 0.000, 0.750)
Sm (0.133, 0.000, 0.250)
Er (0.000, 0.000, 0.000)
Er (0.464, 0.324, 0.310)
Er (0.000, 0.000, 0.500)
Er (0.536, 0.676, 0.690)
Er (0.860, 0.324, 0.810)
Er (0.140, 0.676, 0.190)

Properties
Symmetry: C2/c, No. 15
DFT formation energy, eV per atom: 0.300

---

No. 6
Below is a relaxed structure of Tb12SmEr7, with properties calculated at the PBE-GGA level.

Lattice parameters (Å, degrees): 8.676 8.676 8.676 95.00 95.00 95.00
Element x y z (fractional)
Tb (0.812, 0.250, 0.682)
Tb (0.750, 0.318, 0.188)
Tb (0.475, 0.146, 0.413)
Tb (0.854, 0.587, 0.525)
Tb (0.318, 0.188, 0.750)
Tb (0.587, 0.525, 0.854)
Tb (0.413, 0.475, 0.146)
Tb (0.682, 0.812, 0.250)
Tb (0.146, 0.413, 0.475)
Tb (0.525, 0.854, 0.587)
Tb (0.250, 0.682, 0.812)
Tb (0.188, 0.750, 0.318)
Sm (0.000, 0.000, 0.000)
Er (0.919, 0.650, 0.983)
Er (0.350, 0.017, 0.081)
Er (0.017, 0.081, 0.350)
Er (0.500, 0.500, 0.500)
Er (0.983, 0.919, 0.650)
Er (0.650, 0.983, 0.919)
Er (0.081, 0.350, 0.017)

Properties
Symmetry: R-3, No. 148
DFT formation energy, eV per atom: 0.300

---

No. 7
Below is a relaxed structure of Tb8Sm3Er2, with properties calculated at the PBE-GGA level.

Lattice parameters (Å, degrees): 5.658 7.695 10.733 111.01 90.03 90.00
Element x y z (fractional)
Tb (0.001, 0.672, 0.343)
Tb (0.999, 0.328, 0.657)
Tb (0.000, 0.135, 0.269)
Tb (0.000, 0.865, 0.731)
Tb (0.500, 0.601, 0.783)
Tb (0.500, 0.182, 0.783)
Tb (0.500, 0.818, 0.217)
Tb (0.500, 0.399, 0.217)
Sm (0.500, 0.000, 0.000)
Sm (0.000, 0.290, 0.000)
Sm (0.000, 0.710, 0.000)
Er (0.499, 0.241, 0.483)
Er (0.501, 0.759, 0.517)

Properties
Symmetry: C2/m, No. 12
DFT formation energy, eV per atom: 0.236

---

No. 8
Below is a relaxed structure of TbSmEr2, with properties calculated at the PBE-GGA level.

Lattice parameters (Å, degrees): 3.552 3.552 11.719 81.25 81.25 59.99
Element x y z (fractional)
Tb (0.391, 0.171, 0.195)
Sm (0.893, 0.671, 0.695)
Er (0.641, 0.423, 0.443)
Er (0.143, 0.919, 0.947)

Properties
Symmetry: C2, No. 5
DFT formation energy, eV per atom: 0.019

---

No. 9
Below is a relaxed structure of Tb8Sm6Er, with properties calculated at the PBE-GGA level.

Lattice parameters (Å, degrees): 6.576 9.450 9.449 120.00 90.00 90.00
Element x y z (fractional)
Tb (0.890, 0.984, 0.306)
Tb (0.890, 0.694, 0.678)
Tb (0.890, 0.322, 0.016)
Tb (0.110, 0.016, 0.694)
Tb (0.110, 0.306, 0.322)
Tb (0.110, 0.678, 0.984)
Tb (0.847, 0.333, 0.667)
Tb (0.153, 0.667, 0.333)
Sm (0.602, 0.677, 0.083)
Sm (0.602, 0.917, 0.594)
Sm (0.602, 0.406, 0.323)
Sm (0.398, 0.323, 0.917)
Sm (0.398, 0.083, 0.406)
Sm (0.398, 0.594, 0.677)
Er (0.500, 0.000, 0.000)

Properties
Symmetry: P-3, No. 147
DFT formation energy, eV per atom: 0.229

---

No. 10
Below is a relaxed structure of Tb3Sm4Er5, with properties calculated at the PBE-GGA level.

Lattice parameters (Å, degrees): 7.117 11.256 12.831 151.28 56.30 129.30
Element x y z (fractional)
Tb (0.581, 0.164, 0.332)
Tb (0.000, 0.000, 0.500)
Tb (0.419, 0.836, 0.668)
Sm (0.917, 0.835, 0.667)
Sm (0.831, 0.663, 0.832)
Sm (0.169, 0.337, 0.168)
Sm (0.083, 0.165, 0.333)
Er (0.331, 0.665, 0.834)
Er (0.500, 0.000, 0.500)
Er (0.751, 0.499, 0.999)
Er (0.249, 0.501, 0.001)
Er (0.669, 0.335, 0.166)

Properties
Symmetry: P-1, No. 2
DFT formation energy, eV per atom: 0.017

---

No. 11
Below is a relaxed structure of TbSm5Er3, with properties calculated at the PBE-GGA level.

Lattice parameters (Å, degrees): 12.072 12.072 11.516 43.97 43.97 32.27
Element x y z (fractional)
Tb (0.760, 0.240, 0.750)
Tb (0.240, 0.760, 0.250)
Sm (0.313, 0.687, 0.750)
Sm (0.083, 0.259, 0.003)
Sm (0.393, 0.385, 0.170)
Sm (0.917, 0.741, 0.997)
Sm (0.615, 0.607, 0.330)
Sm (0.687, 0.313, 0.250)
Sm (0.259, 0.083, 0.503)
Sm (0.741, 0.917, 0.497)
Sm (0.385, 0.393, 0.670)
Sm (0.607, 0.615, 0.830)
Er (0.000, 0.000, 0.000)
Er (0.836, 0.641, 0.395)
Er (0.000, 0.000, 0.500)
Er (0.164, 0.359, 0.605)
Er (0.641, 0.836, 0.895)
Er (0.359, 0.164, 0.105)

Properties
Symmetry: C2/c, No. 15
DFT formation energy, eV per atom: 0.180

---

No. 12
Below is a relaxed structure of Tb15SmEr4, with properties calculated at the PBE-GGA level.

Lattice parameters (Å, degrees): 5.025 5.025 25.114 90.00 90.00 90.00
Element x y z (fractional)
Tb (0.500, 0.500, 0.000)
Tb (0.500, 0.500, 0.201)
Tb (0.500, 0.500, 0.400)
Tb (0.500, 0.500, 0.600)
Tb (0.500, 0.500, 0.799)
Tb (0.500, 0.000, 0.101)
Tb (0.500, 0.000, 0.301)
Tb (0.500, 0.000, 0.500)
Tb (0.500, 0.000, 0.699)
Tb (0.500, 0.000, 0.899)
Tb (0.000, 0.500, 0.101)
Tb (0.000, 0.500, 0.301)
Tb (0.000, 0.500, 0.500)
Tb (0.000, 0.500, 0.699)
Tb (0.000, 0.500, 0.899)
Sm (0.000, 0.000, 0.000)
Er (0.000, 0.000, 0.201)
Er (0.000, 0.000, 0.400)
Er (0.000, 0.000, 0.600)
Er (0.000, 0.000, 0.799)

Properties
Symmetry: P4/mmm, No. 123
DFT formation energy, eV per atom: 0.017

---

No. 13
Below is a relaxed structure of Tb12Sm5Er2, with properties calculated at the PBE-GGA level.

Lattice parameters (Å, degrees): 9.256 9.085 8.658 92.06 90.00 120.62
Element x y z (fractional)
Tb (0.928, 0.855, 0.125)
Tb (0.032, 0.705, 0.761)
Tb (0.672, 0.705, 0.761)
Tb (0.177, 0.740, 0.326)
Tb (0.562, 0.740, 0.326)
Tb (0.443, 0.887, 0.661)
Tb (0.557, 0.113, 0.339)
Tb (0.823, 0.260, 0.674)
Tb (0.438, 0.260, 0.674)
Tb (0.968, 0.295, 0.239)
Tb (0.328, 0.295, 0.239)
Tb (0.072, 0.145, 0.875)
Sm (0.231, 0.462, 0.570)
Sm (0.293, 0.585, 0.975)
Sm (0.000, 0.000, 0.500)
Sm (0.707, 0.415, 0.025)
Sm (0.769, 0.538, 0.430)
Er (0.672, 0.000, 0.000)
Er (0.328, 0.000, 0.000)

Properties
Symmetry: C2/m, No. 12
DFT formation energy, eV per atom: 0.120

---

No. 14
Below is a relaxed structure of TbSm4Er4, with properties calculated at the PBE-GGA level.

Lattice parameters (Å, degrees): 5.573 8.857 8.914 44.85 71.79 71.66
Element x y z (fractional)
Tb (0.500, 0.000, 0.000)
Sm (0.280, 0.152, 0.287)
Sm (0.720, 0.848, 0.713)
Sm (0.866, 0.306, 0.961)
Sm (0.134, 0.694, 0.039)
Er (0.626, 0.426, 0.322)
Er (0.928, 0.766, 0.378)
Er (0.374, 0.574, 0.678)
Er (0.072, 0.234, 0.622)

Properties
Symmetry: C2/m, No. 12
DFT formation energy, eV per atom: 0.107

---

No. 15
Below is a relaxed structure of Tb2SmEr, with properties calculated at the PBE-GGA level.

Lattice parameters (Å, degrees): 3.560 3.560 10.088 90.00 90.00 90.00
Element x y z (fractional)
Tb (0.000, 0.000, 0.754)
Tb (0.000, 0.000, 0.246)
Sm (0.500, 0.500, 0.500)
Er (0.500, 0.500, 0.000)

Properties
Symmetry: P4/mmm, No. 123
DFT formation energy, eV per atom: 0.019

---

No. 16
Below is a relaxed structure of TbSm10Er4, with properties calculated at the PBE-GGA level.

Lattice parameters (Å, degrees): 7.724 9.479 9.479 80.45 65.96 65.96
Element x y z (fractional)
Tb (0.000, 0.000, 0.000)
Sm (0.250, 0.500, 0.500)
Sm (0.650, 0.301, 0.899)
Sm (0.049, 0.101, 0.301)
Sm (0.451, 0.899, 0.699)
Sm (0.849, 0.699, 0.101)
Sm (0.350, 0.699, 0.101)
Sm (0.750, 0.500, 0.500)
Sm (0.151, 0.301, 0.899)
Sm (0.549, 0.101, 0.301)
Sm (0.951, 0.899, 0.699)
Er (0.400, 0.801, 0.400)
Er (0.800, 0.600, 0.801)
Er (0.200, 0.400, 0.199)
Er (0.600, 0.199, 0.600)

Properties
Symmetry: I4/m, No. 87
DFT formation energy, eV per atom: 0.706

---

No. 17
Below is a relaxed structure of Tb2Sm7Er3, with properties calculated at the PBE-GGA level.

Lattice parameters (Å, degrees): 3.619 5.750 19.193 98.62 90.00 90.00
Element x y z (fractional)
Tb (0.000, 0.851, 0.703)
Tb (0.000, 0.149, 0.297)
Sm (0.000, 0.408, 0.816)
Sm (0.000, 0.768, 0.536)
Sm (0.000, 0.000, 0.000)
Sm (0.000, 0.592, 0.184)
Sm (0.500, 0.072, 0.144)
Sm (0.500, 0.928, 0.856)
Sm (0.000, 0.232, 0.464)
Er (0.500, 0.500, 0.000)
Er (0.500, 0.685, 0.370)
Er (0.500, 0.315, 0.630)

Properties
Symmetry: Cmmm, No. 65
DFT formation energy, eV per atom: 0.114

---

No. 18
Below is a relaxed structure of Tb10Sm4Er, with properties calculated at the PBE-GGA level.

Lattice parameters (Å, degrees): 11.482 8.979 8.979 65.87 50.25 50.25
Element x y z (fractional)
Tb (0.250, 0.500, 0.500)
Tb (0.721, 0.346, 0.889)
Tb (0.933, 0.111, 0.346)
Tb (0.389, 0.889, 0.654)
Tb (0.956, 0.654, 0.111)
Tb (0.279, 0.654, 0.111)
Tb (0.750, 0.500, 0.500)
Tb (0.044, 0.346, 0.889)
Tb (0.611, 0.111, 0.346)
Tb (0.067, 0.889, 0.654)
Sm (0.569, 0.606, 0.255)
Sm (0.824, 0.745, 0.606)
Sm (0.176, 0.255, 0.394)
Sm (0.431, 0.394, 0.745)
Er (0.000, 0.000, 0.000)

Properties
Symmetry: I4/m, No. 87
DFT formation energy, eV per atom: 0.422

---

No. 19
Below is a relaxed structure of Tb4Sm3Er4, with properties calculated at the PBE-GGA level.

Lattice parameters (Å, degrees): 3.560 5.022 19.823 97.26 95.14 90.01
Element x y z (fractional)
Tb (0.546, 0.546, 0.092)
Tb (0.454, 0.454, 0.908)
Tb (0.817, 0.818, 0.635)
Tb (0.183, 0.182, 0.365)
Sm (0.637, 0.637, 0.274)
Sm (0.363, 0.363, 0.726)
Sm (0.000, 0.000, 0.000)
Er (0.091, 0.091, 0.182)
Er (0.272, 0.273, 0.545)
Er (0.728, 0.728, 0.455)
Er (0.909, 0.909, 0.818)

Properties
Symmetry: P-1, No. 2
DFT formation energy, eV per atom: 0.018

---

Record-wise ρ values, in g cm⁻³: 8.24, 8.15, 7.53, 7.57, 7.99, 8.31, 7.83, 8.48, 7.64, 8.32, 7.90, 8.39, 7.94, 8.13, 8.25, 6.69, 7.87, 7.16, 8.33
Record-wise electronic total energy values, in eV/atom: -4.619, -4.629, -4.224, -4.377, -4.318, -4.311, -4.405, -4.600, -4.432, -4.615, -4.477, -4.604, -4.527, -4.533, -4.617, -3.966, -4.551, -4.228, -4.612